[1]
{"formula": "Ce5TlSb2", "functional": "GGA-PBE", "state": "relaxed", "mass_density_kg_m3": 8031, "space_group": "Cmcm (63)", "e_form_raw_ev_per_atom": -0.457, "total_magnetization_mub_per_cell": 8.0, "lattice_angstrom": [[-2.307, 3.535, 3.437], [-1.914, -5.388, -0.054], [11.619, -4.249, 12.169]], "species": ["Tl", "Tl", "Sb", "Sb", "Sb", "Sb", "Ce", "Ce", "Ce", "Ce", "Ce", "Ce", "Ce", "Ce", "Ce", "Ce"], "frac_coords": [[0.557, 0.113, 0.750], [0.443, 0.887, 0.250], [0.769, 0.538, 0.430], [0.769, 0.538, 0.070], [0.231, 0.462, 0.930], [0.231, 0.462, 0.570], [0.235, 0.470, 0.750], [0.444, 0.887, 0.431], [0.444, 0.887, 0.069], [0.556, 0.113, 0.931], [0.912, 0.824, 0.602], [0.088, 0.176, 0.398], [0.765, 0.530, 0.250], [0.556, 0.113, 0.569], [0.088, 0.176, 0.102], [0.912, 0.824, 0.898]]}



[2]
{"formula": "TmCdAg2", "functional": "GGA-PBE", "state": "relaxed", "ef_ev_per_fu": -0.831, "mass_density_kg_m3": 9679, "space_group": "P4/mmm (123)", "total_magnetization_mub_per_cell": 0.0, "lattice_angstrom": [[-0.132, 2.804, 2.184], [-0.781, -2.155, 2.720], [6.572, -0.717, 1.319]], "species": ["Tm", "Cd", "Ag", "Ag"], "frac_coords": [[0.500, 0.500, 0.000], [0.500, 0.500, 0.500], [0.000, 0.000, 0.256], [0.000, 0.000, 0.744]]}



[3]
{"formula": "TaNb6Tc", "functional": "GGA-PBE", "state": "relaxed", "ef_ev_per_fu": 0.812, "mass_density_kg_m3": 9562, "space_group": "R-3m (166)", "total_magnetization_mub_per_cell": 0.0, "lattice_angstrom": [[5.694, -0.835, -0.945], [-1.452, 5.568, -0.945], [-1.452, -1.620, 5.410]], "species": ["Nb", "Nb", "Nb", "Nb", "Nb", "Nb", "Ta", "Tc"], "frac_coords": [[0.744, 0.251, 0.251], [0.251, 0.744, 0.251], [0.251, 0.251, 0.744], [0.256, 0.749, 0.749], [0.749, 0.256, 0.749], [0.749, 0.749, 0.256], [0.000, 0.000, 0.000], [0.500, 0.500, 0.500]]}



[4]
{"formula": "La2NiN", "functional": "GGA-PBE", "state": "relaxed", "mass_density_kg_m3": 7098, "space_group": "Cmcm (63)", "e_form_raw_ev_per_atom": -0.823, "total_magnetization_mub_per_cell": 0.0, "lattice_angstrom": [[3.840, 0.000, 0.000], [0.000, 3.775, -0.670], [0.000, 0.061, 11.303]], "species": ["La", "La", "La", "La", "N", "N", "Ni", "Ni"], "frac_coords": [[0.750, 0.921, 0.842], [0.750, 0.696, 0.392], [0.250, 0.304, 0.608], [0.250, 0.079, 0.158], [0.250, 0.193, 0.387], [0.750, 0.807, 0.613], [0.750, 0.534, 0.068], [0.250, 0.466, 0.932]]}



[5]
{"formula": "TlTePO", "functional": "GGA-PBE", "state": "relaxed", "mass_density_kg_m3": 6626, "space_group": "Cm (8)", "e_form_raw_ev_per_atom": -0.125, "total_magnetization_mub_per_cell": 0.0, "lattice_angstrom": [[-3.268, 2.527, -1.700], [-2.474, -2.874, 0.484], [-2.185, 3.616, 10.295]], "species": ["Tl", "Tl", "P", "P", "O", "O", "Te", "Te"], "frac_coords": [[0.884, 0.500, 0.904], [0.884, 0.000, 0.404], [0.385, 0.000, 0.884], [0.385, 0.500, 0.384], [0.944, 0.000, 0.630], [0.944, 0.500, 0.130], [0.374, 0.500, 0.164], [0.374, 0.000, 0.664]]}



[6]
{"formula": "InCo2Rh", "functional": "GGA-PBE", "state": "relaxed", "ef_ev_per_fu": 0.420, "mass_density_kg_m3": 9813, "space_group": "Cm (8)", "total_magnetization_mub_per_cell": 3.6, "lattice_angstrom": [[4.736, -0.003, 0.044], [3.833, 2.782, 0.044], [1.245, 0.404, 4.319]], "species": ["Co", "Co", "In", "Rh"], "frac_coords": [[0.733, 0.733, 0.782], [0.012, 0.012, 0.981], [0.495, 0.495, 0.502], [0.261, 0.261, 0.235]]}



[7]
{"formula": "La6Tb3Dy", "functional": "GGA-PBE", "state": "relaxed", "ef_ev_per_fu": 1.808, "mass_density_kg_m3": 6883, "space_group": "P2_1/c (14)", "total_magnetization_mub_per_cell": 0.0, "lattice_angstrom": [[-3.856, 2.417, -3.983], [0.172, -8.256, -5.176], [-9.271, -4.233, 6.444]], "species": ["La", "La", "La", "La", "La", "La", "La", "La", "La", "La", "La", "La", "Tb", "Tb", "Tb", "Tb", "Tb", "Tb", "Dy", "Dy"], "frac_coords": [[0.565, 0.547, 0.750], [0.502, 0.152, 0.406], [0.998, 0.652, 0.094], [0.002, 0.348, 0.906], [0.065, 0.953, 0.250], [0.435, 0.453, 0.250], [0.498, 0.848, 0.594], [0.002, 0.349, 0.594], [0.935, 0.047, 0.750], [0.502, 0.151, 0.094], [0.998, 0.651, 0.406], [0.498, 0.849, 0.906], [0.044, 0.697, 0.750], [0.000, 0.000, 0.500], [0.544, 0.803, 0.250], [0.500, 0.500, 0.000], [0.456, 0.197, 0.750], [0.956, 0.303, 0.250], [0.500, 0.500, 0.500], [0.000, 0.000, 0.000]]}



[8]
{"formula": "La4Ge2P", "functional": "GGA-PBE", "state": "relaxed", "ef_ev_per_fu": -4.587, "mass_density_kg_m3": 5194, "space_group": "I4/mmm (139)", "total_magnetization_mub_per_cell": 0.0, "lattice_angstrom": [[5.409, 0.000, 0.000], [0.000, 5.409, 0.000], [2.705, 2.705, 7.996]], "species": ["La", "La", "La", "La", "P", "Ge", "Ge"], "frac_coords": [[0.000, 0.500, 0.000], [0.819, 0.819, 0.363], [0.181, 0.181, 0.637], [0.500, 0.000, 0.000], [0.000, 0.000, 0.000], [0.629, 0.629, 0.742], [0.371, 0.371, 0.258]]}